# Ca3VTc | Alexandria via LeMat-Bulk | PBE | relaxed
data_Ca3VTc
_cell_length_a 5.548
_cell_length_b 5.548
_cell_length_c 5.548
_cell_angle_alpha 90.00
_cell_angle_beta 90.00
_cell_angle_gamma 90.00
_symmetry_space_group_name_H-M 'P m -3 m'
_symmetry_Int_Tables_number 221
_symmetry_space_group_name_Hall '-P 4 2 3'
loop_
_atom_site_label
_atom_site_fract_x
_atom_site_fract_y
_atom_site_fract_z
_atom_site_occupancy
Ca1 0.000 0.000 0.500 1
V1 0.000 0.000 0.000 1
Tc1 0.500 0.500 0.500 1
# polymorph energy (0 for the lowest one): 0.425 eV per atom

***

# Ca2VTc | Alexandria via LeMat-Bulk | PBE | relaxed
data_Ca2VTc
_cell_length_a 7.207
_cell_length_b 7.207
_cell_length_c 7.207
_cell_angle_alpha 90.00
_cell_angle_beta 90.00
_cell_angle_gamma 90.00
_symmetry_space_group_name_H-M 'F m -3 m'
_symmetry_Int_Tables_number 225
_symmetry_space_group_name_Hall '-F 4 2 3'
loop_
_atom_site_label
_atom_site_fract_x
_atom_site_fract_y
_atom_site_fract_z
_atom_site_occupancy
Ca1 0.250 0.250 0.250 1
V1 0.000 0.000 0.000 1
Tc1 0.000 0.000 0.500 1
# polymorph energy (0 for the lowest one): 0.000 eV per atom

***

# CaV3Tc | Alexandria via LeMat-Bulk | PBE | relaxed
data_CaV3Tc
_cell_length_a 4.293
_cell_length_b 4.293
_cell_length_c 4.293
_cell_angle_alpha 90.00
_cell_angle_beta 90.00
_cell_angle_gamma 90.00
_symmetry_space_group_name_H-M 'P m -3 m'
_symmetry_Int_Tables_number 221
_symmetry_space_group_name_Hall '-P 4 2 3'
loop_
_atom_site_label
_atom_site_fract_x
_atom_site_fract_y
_atom_site_fract_z
_atom_site_occupancy
Ca1 0.000 0.000 0.000 1
V1 0.000 0.000 0.500 1
Tc1 0.500 0.500 0.500 1
# polymorph energy (0 for the lowest one): 1.450 eV per atom

***

CaVZnTc2 | PBE | relaxed

Cell and atoms, written as CIF:
```
data_CaVZnTc2
_cell_length_a 4.686
_cell_length_b 4.686
_cell_length_c 4.522
_cell_angle_alpha 90.00
_cell_angle_beta 90.00
_cell_angle_gamma 90.00
_symmetry_space_group_name_H-M 'P 4/m m m'
_symmetry_Int_Tables_number 123
_symmetry_space_group_name_Hall '-P 4 2'
loop_
_atom_site_label
_atom_site_fract_x
_atom_site_fract_y
_atom_site_fract_z
_atom_site_occupancy
Ca1 0.000 0.000 0.000 1
V1 0.500 0.500 0.000 1
Zn1 0.500 0.500 0.500 1
Tc1 0.000 0.500 0.500 1
```

***

# CaTcW3 | Alexandria via LeMat-Bulk | PBE | relaxed
data_CaTcW3
_cell_length_a 4.812
_cell_length_b 4.812
_cell_length_c 4.812
_cell_angle_alpha 90.00
_cell_angle_beta 90.00
_cell_angle_gamma 90.00
_symmetry_space_group_name_H-M 'P m -3 m'
_symmetry_Int_Tables_number 221
_symmetry_space_group_name_Hall '-P 4 2 3'
loop_
_atom_site_label
_atom_site_fract_x
_atom_site_fract_y
_atom_site_fract_z
_atom_site_occupancy
Ca1 0.000 0.000 0.000 1
Tc1 0.500 0.500 0.500 1
W1 0.000 0.500 0.500 1
# polymorph energy (0 for the lowest one): 0.000 eV per atom

***

Ca4Tc2W | PBE | relaxed

Cell and atoms, written as CIF:
```
data_Ca4Tc2W
_cell_length_a 5.676
_cell_length_b 5.676
_cell_length_c 14.083
_cell_angle_alpha 90.00
_cell_angle_beta 90.00
_cell_angle_gamma 90.00
_symmetry_space_group_name_H-M 'I 4/m m m'
_symmetry_Int_Tables_number 139
_symmetry_space_group_name_Hall '-I 4 2'
loop_
_atom_site_label
_atom_site_fract_x
_atom_site_fract_y
_atom_site_fract_z
_atom_site_occupancy
Ca1 0.000 0.000 0.204 1
Ca2 0.000 0.500 0.000 1
Tc1 0.000 0.000 0.424 1
W1 0.000 0.000 0.000 1
```

***

# CaTcW3 | Alexandria via LeMat-Bulk | PBE | relaxed
data_CaTcW3
_cell_length_a 4.518
_cell_length_b 4.518
_cell_length_c 4.518
_cell_angle_alpha 90.00
_cell_angle_beta 90.00
_cell_angle_gamma 90.00
_symmetry_space_group_name_H-M 'P m -3 m'
_symmetry_Int_Tables_number 221
_symmetry_space_group_name_Hall '-P 4 2 3'
loop_
_atom_site_label
_atom_site_fract_x
_atom_site_fract_y
_atom_site_fract_z
_atom_site_occupancy
Ca1 0.000 0.000 0.000 1
Tc1 0.500 0.500 0.500 1
W1 0.000 0.000 0.500 1
# polymorph energy (0 for the lowest one): 1.704 eV per atom

***

# Ca2TcW2 | Alexandria via LeMat-Bulk | PBE | relaxed
data_Ca2TcW2
_cell_length_a 6.470
_cell_length_b 6.470
_cell_length_c 5.277
_cell_angle_alpha 90.00
_cell_angle_beta 90.00
_cell_angle_gamma 90.00
_symmetry_space_group_name_H-M 'P 4/m b m'
_symmetry_Int_Tables_number 127
_symmetry_space_group_name_Hall '-P 4 2ab'
loop_
_atom_site_label
_atom_site_fract_x
_atom_site_fract_y
_atom_site_fract_z
_atom_site_occupancy
Ca1 0.176 0.324 0.000 1
Tc1 0.000 0.000 0.500 1
W1 0.137 0.637 0.500 1
# polymorph energy (0 for the lowest one): 0.000 eV per atom

***

# Ca2TcW2 | Alexandria via LeMat-Bulk | PBE | relaxed
data_Ca2TcW2
_cell_length_a 3.765
_cell_length_b 3.765
_cell_length_c 14.802
_cell_angle_alpha 90.00
_cell_angle_beta 90.00
_cell_angle_gamma 90.00
_symmetry_space_group_name_H-M 'I 4/m m m'
_symmetry_Int_Tables_number 139
_symmetry_space_group_name_Hall '-I 4 2'
loop_
_atom_site_label
_atom_site_fract_x
_atom_site_fract_y
_atom_site_fract_z
_atom_site_occupancy
Ca1 0.000 0.500 0.250 1
Tc1 0.000 0.000 0.000 1
W1 0.000 0.000 0.424 1
# polymorph energy (0 for the lowest one): 0.909 eV per atom

***

CaYTcW2 | PBE | relaxed

Cell and atoms, written as CIF:
```
data_CaYTcW2
_cell_length_a 4.808
_cell_length_b 4.808
_cell_length_c 5.201
_cell_angle_alpha 90.00
_cell_angle_beta 90.00
_cell_angle_gamma 90.00
_symmetry_space_group_name_H-M 'P 4/m m m'
_symmetry_Int_Tables_number 123
_symmetry_space_group_name_Hall '-P 4 2'
loop_
_atom_site_label
_atom_site_fract_x
_atom_site_fract_y
_atom_site_fract_z
_atom_site_occupancy
Ca1 0.000 0.000 0.000 1
Y1 0.500 0.500 0.000 1
Tc1 0.000 0.000 0.500 1
W1 0.000 0.500 0.500 1
```

***

# CaYTc2 | Alexandria via LeMat-Bulk | PBE | relaxed
data_CaYTc2
_cell_length_a 6.035
_cell_length_b 9.358
_cell_length_c 2.958
_cell_angle_alpha 90.00
_cell_angle_beta 108.10
_cell_angle_gamma 90.00
_symmetry_space_group_name_H-M 'C 1 2/m 1'
_symmetry_Int_Tables_number 12
loop_
_symmetry_equiv_pos_as_xyz
'x,y,z'
'-x,-y,-z'
'-x,y,-z'
'x,-y,z'
'x+1/2,y+1/2,z'
'-x+1/2,-y+1/2,-z'
'-x+1/2,y+1/2,-z'
'x+1/2,-y+1/2,z'
loop_
_atom_site_label
_atom_site_fract_x
_atom_site_fract_y
_atom_site_fract_z
_atom_site_occupancy
Ca1 0.000 0.000 0.000 1
Y1 0.000 0.500 0.000 1
Tc1 0.250 0.250 0.500 1
# polymorph energy (0 for the lowest one): 0.475 eV per atom

***

# Ca2YTc | Alexandria via LeMat-Bulk | PBE | relaxed
data_Ca2YTc
_cell_length_a 3.594
_cell_length_b 3.617
_cell_length_c 9.043
_cell_angle_alpha 90.00
_cell_angle_beta 90.00
_cell_angle_gamma 90.00
_symmetry_space_group_name_H-M 'P m m 2'
_symmetry_Int_Tables_number 25
loop_
_symmetry_equiv_pos_as_xyz
'x,y,z'
'-x,-y,z'
'-x,y,z'
'x,-y,z'
loop_
_atom_site_label
_atom_site_fract_x
_atom_site_fract_y
_atom_site_fract_z
_atom_site_occupancy
Ca1 0.000 0.000 0.000 1
Ca2 0.500 0.500 0.339 1
Y1 0.500 0.500 0.695 1
Tc1 0.000 0.000 0.547 1
# polymorph energy (0 for the lowest one): 0.000 eV per atom

***

Energy of formation values (in eV per atom) by entry order: 1.4525; 0.8727; 2.2573; 1.2873; 1.5753; 1.3515; 3.2791; 0.5756; 1.4846; 1.1248; 0.6084; 0.2162.